# GGA-PBE Ba3InPd, relaxed
data_Ba3InPd
_space_group_name_H-M_alt 'P 1'
_space_group_IT_number 1
_space_group_name_Hall 'P 1'
_cell_length_a 6.139
_cell_length_b 6.139
_cell_length_c 6.139
_cell_angle_alpha 90.00
_cell_angle_beta 90.00
_cell_angle_gamma 90.00
loop_
_atom_site_label
_atom_site_type_symbol
_atom_site_fract_x
_atom_site_fract_y
_atom_site_fract_z
_atom_site_occupancy
Ba1 Ba 0.000 0.500 0.000 1
In1 In 0.500 0.500 0.500 1
Pd1 Pd 0.000 0.000 0.000 1
Ba2 Ba 0.000 0.000 0.500 1
Ba3 Ba 0.500 0.000 0.000 1
# ΔH_f (0 K) ... -0.274 eV per atom
# E above lowest polymorph ... 82 meV/atom